Material: TaV2CrI
Method: DFT, PBE
State: optimized geometry

abc: 4.453 4.767 4.453
angles: 90.00 90.00 90.00
Fractional positions:
I 0.500 0.500 0.500
Cr 0.000 0.000 0.000
V 0.000 0.000 0.500
V 0.500 0.000 0.000
Ta 0.000 0.500 0.000

Results
D(E_F): 6.2 states/eV/f.u.
energy relative to the elements, uncorrected: 1.152 eV/atom
volume: 94.5 Å³/f.u.
ρ: 8.11 Mg/m³
symmetry: P4/mmm